# TaAlMo2 (GGA-PBE, relaxed)
# - Energy relative to the elements: 72 meV/atom
# - N(E_F): 1.95 states/eV/cell
# - Size of the total moment: 0.00 μB per atom
data_TaAlMo2
_chemical_formula_sum 'Ta1 Al1 Mo2'
_cell_length_a 2.7268
_cell_length_b 2.7268
_cell_length_c 8.8245
_cell_angle_alpha 90.00
_cell_angle_beta 90.00
_cell_angle_gamma 90.00
_space_group_name_H-M_alt 'P 4 m m'
_space_group_IT_number 99
_space_group_name_Hall 'P 4 -2'
loop_
_atom_site_label
_atom_site_type_symbol
_atom_site_fract_x
_atom_site_fract_y
_atom_site_fract_z
Ta1 Ta 0.0000 0.0000 0.0000
Al1 Al 0.5000 0.5000 0.2439
Mo1 Mo 0.0000 0.0000 0.4756
Mo2 Mo 0.5000 0.5000 0.7340

---

# Th3FeC3 (GGA-PBE, relaxed)
# - Energy relative to the elements: -202 meV/atom
# - N(E_F): 20.88 states/eV/cell
# - Size of the total moment: 0.00 μB per atom
data_Th3FeC3
_chemical_formula_sum 'Th12 Fe4 C12'
_cell_length_a 8.7097
_cell_length_b 10.5660
_cell_length_c 5.3454
_cell_angle_alpha 90.00
_cell_angle_beta 90.00
_cell_angle_gamma 90.00
_space_group_name_H-M_alt 'C m c m'
_space_group_IT_number 63
_space_group_name_Hall '-C 2c 2'
loop_
_atom_site_label
_atom_site_type_symbol
_atom_site_fract_x
_atom_site_fract_y
_atom_site_fract_z
Th1 Th 0.0000 0.1105 0.2500
Th2 Th 0.2089 0.3761 0.2500
Fe1 Fe 0.0000 0.3018 0.7500
C1 C 0.0000 0.1242 0.7500
C2 C 0.2041 0.3642 0.7500

---

# Th3Te3Se2 (GGA-PBE, relaxed)
# - N(E_F): 10.20 states/eV/cell
# - Size of the total moment: 0.00 μB per atom
# - Energy relative to the elements, uncorrected: -1.25 eV/atom
data_Th3Te3Se2
_chemical_formula_sum 'Th6 Te6 Se4'
_cell_length_a 4.1347
_cell_length_b 5.0173
_cell_length_c 22.1970
_cell_angle_alpha 90.00
_cell_angle_beta 90.00
_cell_angle_gamma 90.00
_space_group_name_H-M_alt 'I m m m'
_space_group_IT_number 71
_space_group_name_Hall '-I 2 2'
loop_
_atom_site_label
_atom_site_type_symbol
_atom_site_fract_x
_atom_site_fract_y
_atom_site_fract_z
Th1 Th 0.0000 0.0000 0.0000
Th2 Th 0.0000 0.5000 0.1654
Te1 Te 0.0000 0.0000 0.5000
Te2 Te 0.0000 0.5000 0.3853
Se1 Se 0.0000 0.0000 0.2405

---

# BeNbZn2 (GGA-PBE, relaxed)
# - Energy relative to the elements: -4 meV/atom
# - N(E_F): 1.48 states/eV/cell
# - Size of the total moment: 0.00 μB per atom
data_BeNbZn2
_chemical_formula_sum 'Be1 Nb1 Zn2'
_cell_length_a 2.8369
_cell_length_b 2.8369
_cell_length_c 6.7705
_cell_angle_alpha 90.00
_cell_angle_beta 90.00
_cell_angle_gamma 90.00
_space_group_name_H-M_alt 'P 4/m m m'
_space_group_IT_number 123
_space_group_name_Hall '-P 4 2'
loop_
_atom_site_label
_atom_site_type_symbol
_atom_site_fract_x
_atom_site_fract_y
_atom_site_fract_z
Be1 Be 0.0000 0.0000 0.0000
Nb1 Nb 0.0000 0.0000 0.5000
Zn1 Zn 0.5000 0.5000 0.2040

---

# Li2Be2PN4 (GGA-PBE, relaxed)
# - N(E_F): 5.44 states/eV/cell
# - Size of the total moment: 0.00 μB per atom
# - Energy relative to the elements, uncorrected: -0.48 eV/atom
data_Li2Be2PN4
_chemical_formula_sum 'Li4 Be4 P2 N8'
_cell_length_a 9.9374
_cell_length_b 2.7656
_cell_length_c 7.0371
_cell_angle_alpha 90.00
_cell_angle_beta 129.95
_cell_angle_gamma 90.00
_space_group_name_H-M_alt 'C 1 2/m 1'
_space_group_IT_number 12
_space_group_name_Hall '-C 2y'
loop_
_atom_site_label
_atom_site_type_symbol
_atom_site_fract_x
_atom_site_fract_y
_atom_site_fract_z
Li1 Li 0.1757 0.0000 0.2951
Be1 Be 0.1573 0.5000 0.8775
P1 P 0.0000 0.0000 0.5000
N1 N 0.0554 0.5000 0.3844
N2 N 0.2213 0.0000 0.8097

---

# Hg2SI (GGA-PBE, relaxed)
# - N(E_F): 3.55 states/eV/cell
# - Size of the total moment: 0.00 μB per atom
# - Energy relative to the elements, uncorrected: -0.05 eV/atom
data_Hg2SI
_chemical_formula_sum 'Hg8 S4 I4'
_cell_length_a 6.5265
_cell_length_b 6.5265
_cell_length_c 13.5485
_cell_angle_alpha 90.00
_cell_angle_beta 90.00
_cell_angle_gamma 90.00
_space_group_name_H-M_alt 'I -4 2 d'
_space_group_IT_number 122
_space_group_name_Hall 'I -4 2bw'
loop_
_atom_site_label
_atom_site_type_symbol
_atom_site_fract_x
_atom_site_fract_y
_atom_site_fract_z
Hg1 Hg 0.1732 0.2500 0.1250
S1 S 0.0000 0.0000 0.0000
I1 I 0.0000 0.0000 0.5000

---

# Ca3TcC (GGA-PBE, relaxed)
# - Energy relative to the elements: 1599 meV/atom
# - N(E_F): 0.05 states/eV/cell
# - Size of the total moment: 0.60 μB per atom
data_Ca3TcC
_chemical_formula_sum 'Ca3 Tc1 C1'
_cell_length_a 5.3670
_cell_length_b 5.3670
_cell_length_c 5.3670
_cell_angle_alpha 90.00
_cell_angle_beta 90.00
_cell_angle_gamma 90.00
_space_group_name_H-M_alt 'P m -3 m'
_space_group_IT_number 221
_space_group_name_Hall '-P 4 2 3'
loop_
_atom_site_label
_atom_site_type_symbol
_atom_site_fract_x
_atom_site_fract_y
_atom_site_fract_z
Ca1 Ca 0.0000 0.0000 0.5000
Tc1 Tc 0.0000 0.0000 0.0000
C1 C 0.5000 0.5000 0.5000

---

# Rb2HfCuBr6 (GGA-PBE, relaxed)
# - N(E_F): 18.41 states/eV/cell
# - Size of the total moment: 0.10 μB per atom
# - Energy relative to the elements, uncorrected: -1.17 eV/atom
data_Rb2HfCuBr6
_chemical_formula_sum 'Rb4 Hf2 Cu2 Br12'
_cell_length_a 7.5635
_cell_length_b 7.5635
_cell_length_c 11.0433
_cell_angle_alpha 90.00
_cell_angle_beta 90.00
_cell_angle_gamma 90.00
_space_group_name_H-M_alt 'I 4/m m m'
_space_group_IT_number 139
_space_group_name_Hall '-I 4 2'
loop_
_atom_site_label
_atom_site_type_symbol
_atom_site_fract_x
_atom_site_fract_y
_atom_site_fract_z
Rb1 Rb 0.0000 0.5000 0.2500
Hf1 Hf 0.0000 0.0000 0.0000
Cu1 Cu 0.0000 0.0000 0.5000
Br1 Br 0.0000 0.0000 0.2424
Br2 Br 0.2488 0.2488 0.5000

---

# LiRe2BI (GGA-PBE, relaxed)
# - N(E_F): 5.14 states/eV/cell
# - Size of the total moment: 0.00 μB per atom
# - Energy relative to the elements, uncorrected: 1.09 eV/atom
data_LiRe2BI
_chemical_formula_sum 'Li1 Re2 B1 I1'
_cell_length_a 4.0953
_cell_length_b 4.0953
_cell_length_c 5.3531
_cell_angle_alpha 90.00
_cell_angle_beta 90.00
_cell_angle_gamma 90.00
_space_group_name_H-M_alt 'P 4/m m m'
_space_group_IT_number 123
_space_group_name_Hall '-P 4 2'
loop_
_atom_site_label
_atom_site_type_symbol
_atom_site_fract_x
_atom_site_fract_y
_atom_site_fract_z
Li1 Li 0.0000 0.0000 0.0000
Re1 Re 0.0000 0.5000 0.5000
B1 B 0.5000 0.5000 0.5000
I1 I 0.5000 0.5000 0.0000

---

# K2Y (GGA-PBE, relaxed)
# - Energy relative to the elements: 403 meV/atom
# - N(E_F): 4.29 states/eV/cell
# - Size of the total moment: 0.19 μB per atom
data_K2Y
_chemical_formula_sum 'K2 Y1'
_cell_length_a 3.8945
_cell_length_b 3.8945
_cell_length_c 11.1006
_cell_angle_alpha 90.00
_cell_angle_beta 90.00
_cell_angle_gamma 120.00
_space_group_name_H-M_alt 'P -3 m 1'
_space_group_IT_number 164
_space_group_name_Hall '-P 3 2"'
loop_
_atom_site_label
_atom_site_type_symbol
_atom_site_fract_x
_atom_site_fract_y
_atom_site_fract_z
K1 K 0.3333 0.6667 0.1878
Y1 Y 0.0000 0.0000 0.5000

---

# KYGa2 (GGA-PBE, relaxed)
# - Energy relative to the elements: 225 meV/atom
# - N(E_F): 1.58 states/eV/cell
# - Size of the total moment: 0.00 μB per atom
data_KYGa2
_chemical_formula_sum 'K4 Y4 Ga8'
_cell_length_a 8.3415
_cell_length_b 8.3415
_cell_length_c 7.0376
_cell_angle_alpha 90.00
_cell_angle_beta 90.00
_cell_angle_gamma 90.00
_space_group_name_H-M_alt 'I -4 2 d'
_space_group_IT_number 122
_space_group_name_Hall 'I -4 2bw'
loop_
_atom_site_label
_atom_site_type_symbol
_atom_site_fract_x
_atom_site_fract_y
_atom_site_fract_z
K1 K 0.0000 0.0000 0.0000
Y1 Y 0.0000 0.0000 0.5000
Ga1 Ga 0.2187 0.2500 0.6250

---

# NbCuSn3 (GGA-PBE, relaxed)
# - Energy relative to the elements: 783 meV/atom
# - N(E_F): 4.57 states/eV/cell
# - Size of the total moment: 0.57 μB per atom
data_NbCuSn3
_chemical_formula_sum 'Nb1 Cu1 Sn3'
_cell_length_a 5.0048
_cell_length_b 5.0048
_cell_length_c 5.0048
_cell_angle_alpha 90.00
_cell_angle_beta 90.00
_cell_angle_gamma 90.00
_space_group_name_H-M_alt 'P m -3 m'
_space_group_IT_number 221
_space_group_name_Hall '-P 4 2 3'
loop_
_atom_site_label
_atom_site_type_symbol
_atom_site_fract_x
_atom_site_fract_y
_atom_site_fract_z
Nb1 Nb 0.0000 0.0000 0.0000
Cu1 Cu 0.5000 0.5000 0.5000
Sn1 Sn 0.0000 0.5000 0.5000